Entry 1:
Entry from Alexandria via LeMat-Bulk: a geometry-optimized Li2TiGaO structure (GGA-PBE).

```
Li2TiGaO
1.0
3.978 0.000 0.000
0.000 4.005 0.000
0.000 0.000 3.978
O Ga Li Ti
1 1 2 1
direct
0.000 0.000 0.000 O
0.500 0.500 0.500 Ga
0.500 0.000 0.000 Li
0.000 0.000 0.500 Li
0.000 0.500 0.000 Ti
```

**DOS(E_F)**: 3.92 states/eV/f.u.
**ΔE_f (raw)**: -1.1599 eV per atom
**Total energy**: -25.5 eV per cell

Entry 2:
Entry from Alexandria via LeMat-Bulk: a geometry-optimized LiTi2GaO6 structure (GGA-PBE).

```
LiTi2GaO6
1.0
-4.419 2.899 -1.836
-6.329 -5.110 -1.290
-3.736 3.682 6.349
Ga O Ti Li
2 12 4 2
direct
0.250 0.249 0.751 Ga
0.750 0.751 0.249 Ga
0.875 0.930 0.270 O
0.922 0.785 0.710 O
0.422 0.710 0.785 O
0.426 0.772 0.427 O
0.078 0.215 0.290 O
0.125 0.070 0.730 O
0.625 0.730 0.070 O
0.574 0.228 0.573 O
0.074 0.573 0.228 O
0.578 0.290 0.215 O
0.375 0.270 0.930 O
0.926 0.427 0.772 O
0.730 0.662 0.835 Ti
0.770 0.165 0.338 Ti
0.230 0.835 0.662 Ti
0.270 0.338 0.165 Ti
0.250 0.752 0.248 Li
0.750 0.248 0.752 Li
```

**DOS(E_F)**: 0.00 states/eV/f.u.
**ΔE_f (raw)**: -2.5946 eV per atom
**Total energy**: -152.9 eV per cell

Entry 3:
Entry from Alexandria via LeMat-Bulk: a geometry-optimized Li2Tl2GaO6 structure (GGA-PBE).

```
Li2Tl2GaO6
1.0
-0.119 5.659 0.483
-4.728 -3.050 0.787
2.349 -1.083 4.601
Tl Li O Ga
2 2 6 1
direct
0.663 0.337 0.500 Tl
0.337 0.663 0.500 Tl
0.865 0.135 0.000 Li
0.135 0.865 0.000 Li
0.652 0.963 0.273 O
0.235 0.235 0.280 O
0.963 0.652 0.273 O
0.348 0.037 0.727 O
0.765 0.765 0.720 O
0.037 0.348 0.727 O
0.000 0.000 0.500 Ga
```

**DOS(E_F)**: 5.45 states/eV/f.u.
**ΔE_f (raw)**: -1.1207 eV per atom
**Total energy**: -53.7 eV per cell

Entry 4:
Entry from Alexandria via LeMat-Bulk: a geometry-optimized Li2TlGaO4 structure (GGA-PBE).

```
Li2TlGaO4
1.0
4.749 0.197 0.000
-0.198 4.749 0.000
-2.276 -2.473 4.443
O Ga Li Tl
4 1 2 1
direct
0.594 0.594 0.743 O
0.406 0.850 0.257 O
0.850 0.406 0.257 O
0.150 0.150 0.743 O
0.500 0.500 0.000 Ga
0.750 0.250 0.500 Li
0.250 0.750 0.500 Li
0.000 0.000 0.000 Tl
```

**ΔE_f (raw)**: -1.5775 eV per atom
**Total energy**: -41.7 eV per cell

Entry 5:
Entry from Alexandria via LeMat-Bulk: a geometry-optimized Li2TmGaO4 structure (GGA-PBE).

```
Li2TmGaO4
1.0
-1.136 -2.294 1.918
3.752 -2.816 -3.813
7.128 1.444 5.948
Li O Tm Ga
4 8 2 2
direct
0.593 0.185 0.035 Li
0.407 0.815 0.965 Li
0.593 0.185 0.465 Li
0.407 0.815 0.535 Li
0.682 0.363 0.878 O
0.000 0.000 0.500 O
0.398 0.797 0.750 O
0.602 0.203 0.250 O
0.682 0.363 0.622 O
0.000 0.000 0.000 O
0.318 0.637 0.122 O
0.318 0.637 0.378 O
0.918 0.837 0.250 Tm
0.082 0.163 0.750 Tm
0.198 0.397 0.250 Ga
0.802 0.603 0.750 Ga
```

**DOS(E_F)**: 0.00 states/eV/f.u.
**ΔE_f (raw)**: -2.1861 eV per atom
**Total energy**: -97.3 eV per cell

Entry 6:
Entry from Alexandria via LeMat-Bulk: a geometry-optimized Li4Tm3GaO8 structure (GGA-PBE).

```
Li4Tm3GaO8
1.0
6.447 0.000 0.000
0.000 6.252 -0.139
-3.223 -3.224 4.556
Li Ga Tm O
4 1 3 8
direct
0.000 0.000 0.000 Li
0.500 0.000 0.500 Li
0.500 0.000 0.000 Li
0.000 0.000 0.500 Li
0.000 0.500 0.000 Ga
0.500 0.500 0.500 Tm
0.500 0.500 0.000 Tm
0.000 0.500 0.500 Tm
0.762 0.733 0.998 O
0.255 0.267 0.511 O
0.238 0.267 0.002 O
0.764 0.267 0.002 O
0.236 0.733 0.472 O
0.236 0.733 0.998 O
0.764 0.267 0.528 O
0.745 0.733 0.489 O
```

**DOS(E_F)**: 0.00 states/eV/f.u.
**ΔE_f (raw)**: -2.6313 eV per atom
**Total energy**: -105.9 eV per cell

Entry 7:
Entry from Alexandria via LeMat-Bulk: a geometry-optimized LiTm2GaO5 structure (GGA-PBE).

```
LiTm2GaO5
1.0
-4.580 -1.123 4.300
-1.468 -5.446 -2.987
6.635 0.589 2.484
O Li Tm Ga
10 2 4 2
direct
0.488 0.275 0.262 O
0.988 0.488 0.262 O
0.012 0.512 0.738 O
0.225 0.012 0.738 O
0.000 0.000 0.000 O
0.775 0.988 0.262 O
0.500 0.500 0.000 O
0.275 0.775 0.262 O
0.725 0.225 0.738 O
0.512 0.725 0.738 O
0.750 0.750 0.500 Li
0.250 0.250 0.500 Li
0.679 0.179 0.000 Tm
0.321 0.821 0.000 Tm
0.179 0.321 0.000 Tm
0.821 0.679 0.000 Tm
0.750 0.250 0.500 Ga
0.250 0.750 0.500 Ga
```

**DOS(E_F)**: 0.00 states/eV/f.u.
**ΔE_f (raw)**: -2.6874 eV per atom
**Total energy**: -125.7 eV per cell

Entry 8:
Entry from Alexandria via LeMat-Bulk: a geometry-optimized LiUGa2O8 structure (GGA-PBE).

```
LiUGa2O8
1.0
-4.274 -1.722 3.706
3.982 -4.297 -0.803
2.733 4.702 2.319
O Ga U Li
8 2 1 1
direct
0.757 0.058 0.699 O
0.875 0.658 0.217 O
0.342 0.125 0.783 O
0.342 0.559 0.217 O
0.942 0.243 0.301 O
0.441 0.658 0.783 O
0.359 0.058 0.301 O
0.942 0.641 0.699 O
0.750 0.250 0.500 Ga
0.500 0.500 0.000 Ga
0.250 0.750 0.500 U
0.000 0.000 0.000 Li
```

**DOS(E_F)**: 5.51 states/eV/f.u.
**ΔE_f (raw)**: -1.6435 eV per atom
**Total energy**: -78.6 eV per cell